Entry 1:
## LaTcN3 (PBE)

Data for a relaxed LaTcN3 crystal.

The value obtained for the formation energy without anion corrections is 2.30 eV/f.u. The space-group type is P4mm (99). The value obtained for the density is 6.15 g/cm3.

abc: 3.9952 3.9952 4.7185
angles: 90.00 90.00 90.00
Fractional coordinates of all 5 atoms:
N: 0.0000 0.0000 0.5996
N: 0.5000 0.0000 0.5199
N: 0.0000 0.5000 0.5199
Tc: 0.5000 0.5000 0.5162
La: 0.0000 0.0000 0.1082

Entry 2:
## LaTcN3 (PBE)

Data for a relaxed LaTcN3 crystal.

The value obtained for the formation energy without anion corrections is -2.78 eV/f.u. The space-group type is Pmc2_1 (26). The value obtained for the density is 6.54 g/cm3.

abc: 3.5698 5.7012 6.9618
angles: 90.00 90.01 90.00
Fractional coordinates of all 10 atoms:
N: 0.4624 0.5473 0.2425
N: 0.4623 0.5273 0.8461
N: 0.4622 0.0834 0.2650
N: 0.4623 0.5834 0.4185
N: 0.4621 0.0473 0.4410
N: 0.4623 0.0273 0.8374
Tc: 0.4622 0.7729 0.6402
Tc: 0.4623 0.2729 0.0433
La: 0.9624 0.7796 0.0313
La: 0.9622 0.2796 0.6522